Record 1
Computed, not measured: crystalline Pa4Si8Pt at its relaxed geometry at the PBE level of DFT.

```
13
Lattice="3.9319 0.0000 0.0000 0.0000 4.0061 0.0000 0.0000 0.0000 16.0741" Properties=species:S:1:pos:R:3 pbc="T T T"
Si 0.0000 2.0031 3.7433
Si 0.0000 0.0000 12.0736
Si 1.9659 2.0031 0.5942
Si 0.0000 0.0000 7.5791
Si 0.0000 2.0031 15.2395
Si 1.9659 0.0000 3.7323
Si 1.9659 2.0031 12.0754
Si 1.9659 0.0000 8.8964
Pt 0.0000 0.0000 5.1576
Pa 1.9659 2.0031 6.5256
Pa 0.0000 0.0000 1.5619
Pa 0.0000 2.0031 9.8314
Pa 1.9659 0.0000 14.3045
```

Summary:
- formation energy without anion corrections (eV/atom) = -0.500
- space-group type = Pmm2 (25)
- final energy (eV/cell) = -93.91

Record 2
Computed, not measured: crystalline Pa2Si2Pt at its relaxed geometry at the PBE level of DFT.

```
20
Lattice="6.4179 0.0000 0.0000 0.0000 6.4179 0.0000 0.0000 0.0000 9.2834" Properties=species:S:1:pos:R:3 pbc="T T T"
Pa 2.2277 0.9813 0.0000
Pa 5.4366 2.2276 4.6417
Pa 0.9813 4.1903 4.6417
Pa 0.9813 4.1902 0.0000
Pa 4.1903 5.4366 4.6417
Pa 4.1902 5.4366 0.0000
Pa 5.4366 2.2277 0.0000
Pa 2.2276 0.9813 4.6417
Pt 0.0000 0.0000 6.9622
Pt 3.2089 3.2089 2.3205
Pt 0.0000 0.0000 2.3212
Pt 3.2089 3.2089 6.9629
Si 2.3267 5.5357 6.9625
Si 4.0911 0.8822 6.9625
Si 5.5357 4.0911 2.3208
Si 2.3267 5.5357 2.3208
Si 4.0911 0.8822 2.3208
Si 5.5357 4.0911 6.9625
Si 0.8822 2.3267 6.9625
Si 0.8822 2.3267 2.3208
```

Summary:
- formation energy without anion corrections (eV/atom) = -0.782
- space-group type = P4/mbm (127)
- energy above the most stable polymorph in this dataset (eV per atom) = 0.0046
- final energy (eV/cell) = -159.15

Record 3
Computed, not measured: crystalline Pa2Si7Pt12 at its relaxed geometry at the PBE level of DFT.

```
21
Lattice="-2.4003 -0.2844 3.1376 3.1658 -9.3698 1.5726 4.7475 7.6821 4.3282" Properties=species:S:1:pos:R:3 pbc="T T T"
Pt 6.1183 -1.7494 4.5220
Pt 3.9352 -7.3838 2.3412
Pt 1.5192 -1.8217 3.4970
Pt 1.6382 -5.7946 3.2279
Pt 1.3496 1.1754 3.6388
Pt 5.9537 2.7675 4.8055
Pt 2.7390 3.5353 2.4158
Pt 4.3211 -3.8677 5.4550
Pt 3.9682 -0.3083 3.0078
Pt 4.4056 0.3471 5.9016
Pt 1.0256 -1.9243 0.6102
Pt 3.3052 4.0454 5.3950
Si 2.0136 0.0287 1.5431
Si 0.4942 -3.7329 2.5396
Si 3.8564 5.4764 3.4466
Si 3.5214 -6.0447 4.6459
Si 6.7908 0.4893 5.2394
Si 3.4629 -1.7064 4.9943
Si 4.2203 1.9982 3.4097
Pa -1.2002 -0.1422 1.5688
Pa 3.6930 -3.6858 2.4911
```

Summary:
- formation energy without anion corrections (eV/atom) = -0.811
- space-group type = P-6 (174)
- final energy (eV/cell) = -146.48

Record 4
Computed, not measured: crystalline Pa3Si2Pt7 at its relaxed geometry at the PBE level of DFT.

```
12
Lattice="4.0286 0.0000 0.0000 0.0000 4.0286 0.0000 -2.0143 -2.0143 13.9188" Properties=species:S:1:pos:R:3 pbc="T T T"
Pt 0.0000 2.0143 11.6865
Pt 2.0143 0.0000 2.2324
Pt 0.0000 0.0000 6.0336
Pt 0.0000 2.0143 2.2324
Pt 0.0000 0.0000 0.0000
Pt 2.0143 2.0143 7.8853
Pt 2.0143 0.0000 11.6865
Pa 2.0143 2.0143 0.0000
Pa 2.0143 2.0143 4.9651
Pa 0.0000 0.0000 8.9537
Si 0.0000 0.0000 3.5890
Si 2.0143 2.0143 10.3298
```

Summary:
- formation energy without anion corrections (eV/atom) = -0.881
- space-group type = I4/mmm (139)
- final energy (eV/cell) = -92.19

Record 5
Computed, not measured: crystalline Pa2SiPt at its relaxed geometry at the PBE level of DFT.

```
4
Lattice="-2.8549 -0.8031 3.9731 2.0829 -0.9126 4.4056 -0.2406 3.3936 3.6065" Properties=species:S:1:pos:R:3 pbc="T T T"
Pa -0.2531 0.4195 2.9963
Pa -0.7594 1.2584 8.9889
Pt -0.5063 0.8389 5.9926
Si 0.0000 0.0000 0.0000
```

Summary:
- formation energy without anion corrections (eV/atom) = -0.367
- space-group type = Fm-3m (225)
- final energy (eV/cell) = -31.92

Record 6
Computed, not measured: crystalline PaSiPt2 at its relaxed geometry at the PBE level of DFT.

```
4
Lattice="-0.1501 -3.3386 -2.4468 0.3521 -3.7870 1.6400 -4.9673 -2.5854 0.3268" Properties=species:S:1:pos:R:3 pbc="T T T"
Pa 0.0000 0.0000 0.0000
Pt -3.1570 -7.2658 -0.4093
Pt -1.6083 -2.4452 -0.0707
Si -2.3827 -4.8555 -0.2400
```

Summary:
- formation energy without anion corrections (eV/atom) = -0.943
- space-group type = R-3m (166)
- final energy (eV/cell) = -30.77

Record 7
Computed, not measured: crystalline Pa2SiPt5 at its relaxed geometry at the PBE level of DFT.

```
8
Lattice="-0.7612 -1.8298 5.8479 -4.3347 -4.0043 -1.8171 5.3550 0.1109 -2.5280" Properties=species:S:1:pos:R:3 pbc="T T T"
Pt 1.9327 -3.2329 -2.2356
Pt 3.5505 -2.2485 1.2345
Pt 3.8951 -1.4200 -1.4130
Pt 1.5881 -4.0613 0.4118
Pt -1.0840 -4.3805 1.7481
Si 0.4299 -0.4298 -0.0785
Pa 0.9844 -2.2795 2.6747
Pa -0.8023 -3.3667 -1.1577
```

Summary:
- formation energy without anion corrections (eV/atom) = -0.769
- space-group type = I4mm (107)
- final energy (eV/cell) = -60.77

Record 8
Computed, not measured: crystalline Pa2Si12Pt7 at its relaxed geometry at the PBE level of DFT.

```
21
Lattice="-3.7524 -0.5353 -1.2846 -1.3354 -7.1696 6.8883 -2.1232 9.5491 2.2228" Properties=species:S:1:pos:R:3 pbc="T T T"
Si -3.5146 -1.4971 7.2741
Si -2.0749 -3.9882 4.1066
Si -3.3300 -0.8922 1.2506
Si -2.4692 0.2295 3.5009
Si -3.1534 7.1964 2.5921
Si -5.1361 5.8324 3.7198
Si -1.8160 1.5295 1.0468
Si -5.3950 0.3147 6.7796
Si -3.8810 2.7365 6.5758
Si -4.7418 1.6148 4.3255
Si -3.6964 3.3414 0.5523
Si -4.0576 -5.3522 5.2343
Pt -4.3566 1.2830 1.8913
Pt -2.8544 0.5613 5.9352
Pt -1.8762 -0.2676 -0.6423
Pt -1.4186 -1.9772 2.7992
Pt -4.7321 5.4977 1.2317
Pt -5.7923 3.8215 5.0273
Pt -2.4789 -3.6534 6.5947
Pa -2.9599 3.8194 3.4016
Pa -4.2511 -1.9752 4.4248
```

Summary:
- formation energy without anion corrections (eV/atom) = -0.485
- space-group type = P-3 (147)
- final energy (eV/cell) = -136.54

Record 9
Computed, not measured: crystalline PaSiPt3 at its relaxed geometry at the PBE level of DFT.

```
5
Lattice="0.4044 2.5097 3.1073 3.9897 -0.4417 -0.1624 2.5294 5.3291 -2.0402" Properties=species:S:1:pos:R:3 pbc="T T T"
Si 4.9744 3.2060 -1.4076
Pt 5.0984 3.4511 0.9718
Pt 2.9876 2.1734 2.2784
Pt 2.9016 2.4193 -0.5024
Pa 3.2710 5.8349 -0.7159
```

Summary:
- formation energy without anion corrections (eV/atom) = -0.976
- space-group type = I4mm (107)
- energy above the most stable polymorph in this dataset (eV per atom) = 0.0000
- final energy (eV/cell) = -37.92

Record 10
Computed, not measured: crystalline Pa3Si2Pt3 at its relaxed geometry at the PBE level of DFT.

```
16
Lattice="4.2293 0.0000 0.0000 -2.1147 5.2801 0.0000 0.0000 0.0000 14.2685" Properties=species:S:1:pos:R:3 pbc="T T T"
Si 2.1146 3.0677 8.6413
Si 0.0000 2.2124 5.6272
Si 2.1146 3.0677 12.7615
Si 0.0000 2.2124 1.5070
Pt 2.1146 1.5116 10.7014
Pt 0.0000 4.0207 13.6483
Pt 2.1147 1.2594 6.5141
Pt 0.0000 4.0207 7.7544
Pt 2.1147 1.2594 0.6202
Pt 0.0000 3.7685 3.5671
Pa 2.1147 4.4415 5.6298
Pa 0.0000 0.8385 12.7640
Pa 2.1147 4.4415 1.5045
Pa 2.1147 1.3980 3.5671
Pa 0.0000 0.8385 8.6387
Pa 0.0000 3.8821 10.7014
```

Summary:
- formation energy without anion corrections (eV/atom) = -0.938
- space-group type = Cmcm (63)
- final energy (eV/cell) = -129.93

Record 11
Computed, not measured: crystalline Pa3Si4Pt4 at its relaxed geometry at the PBE level of DFT.

```
11
Lattice="4.1536 0.0000 0.0000 0.0000 4.0590 0.0000 -2.0768 -2.0295 12.2070" Properties=species:S:1:pos:R:3 pbc="T T T"
Si 0.0000 2.0295 4.7313
Si 0.0000 0.0000 11.0385
Si 2.0768 0.0000 7.4758
Si 2.0768 2.0295 1.1685
Pt 2.0768 2.0295 6.0513
Pt 2.0768 0.0000 9.8527
Pt 0.0000 0.0000 6.1557
Pt 0.0000 2.0295 2.3543
Pa 0.0000 2.0295 8.6917
Pa 0.0000 0.0000 0.0000
Pa 2.0768 0.0000 3.5153
```

Summary:
- formation energy without anion corrections (eV/atom) = -0.959
- space-group type = Immm (71)
- final energy (eV/cell) = -84.89

Record 12
Computed, not measured: crystalline Pa2SiPt at its relaxed geometry at the PBE level of DFT.

```
8
Lattice="3.9209 0.0000 0.0000 0.0000 5.5107 -2.0746 0.0000 -0.0178 8.1549" Properties=species:S:1:pos:R:3 pbc="T T T"
Si 0.9802 1.8066 5.0734
Si 2.9407 3.6863 1.0069
Pa 2.9407 1.1523 7.2110
Pa 0.9802 4.3877 3.1252
Pa 0.9802 4.3406 -1.1307
Pa 2.9407 1.1052 2.9551
Pt 2.9407 3.4899 5.0509
Pt 0.9802 2.0030 1.0294
```

Summary:
- formation energy without anion corrections (eV/atom) = -0.709
- space-group type = P2_1/m (11)
- final energy (eV/cell) = -66.59

Record 13
Computed, not measured: crystalline PaSiPt4 at its relaxed geometry at the PBE level of DFT.

```
12
Lattice="3.9086 0.0000 0.0000 0.0000 6.9276 0.0000 0.0000 0.0000 7.6815" Properties=species:S:1:pos:R:3 pbc="T T T"
Pt 1.9543 0.4340 1.9204
Pt 1.9543 2.1886 7.2473
Pt 1.9543 2.1886 4.2749
Pt 1.9543 6.4936 5.7611
Pt 0.0000 0.0000 3.8407
Pt 0.0000 0.0000 0.0000
Pt 1.9543 4.7391 3.4065
Pt 1.9543 4.7391 0.4342
Pa 0.0000 2.5773 1.9204
Pa 0.0000 4.3503 5.7611
Si 0.0000 1.4890 5.7611
Si 0.0000 5.4386 1.9204
```

Summary:
- formation energy without anion corrections (eV/atom) = -0.794
- space-group type = Pmma (51)
- final energy (eV/cell) = -87.70

Record 14
Computed, not measured: crystalline PaSi2Pt4 at its relaxed geometry at the PBE level of DFT.

```
7
Lattice="4.0820 0.0000 0.0000 0.0000 4.0953 0.0000 0.0000 -2.0476 7.0190" Properties=species:S:1:pos:R:3 pbc="T T T"
Pa 0.0000 0.0000 0.0000
Pt 0.0000 0.0000 4.6134
Pt 2.0410 2.0476 4.5941
Pt 2.0410 0.0000 2.4249
Pt 0.0000 2.0476 2.4056
Si 2.0410 0.0000 5.8796
Si 2.0410 2.0476 1.1394
```

Summary:
- formation energy without anion corrections (eV/atom) = -0.770
- space-group type = Cmmm (65)
- energy above the most stable polymorph in this dataset (eV per atom) = 0.0468
- final energy (eV/cell) = -49.90

Record 15
Computed, not measured: crystalline PaSi3Pt2 at its relaxed geometry at the PBE level of DFT.

```
12
Lattice="3.9429 0.0000 -1.1586 -0.7963 6.5544 -2.7099 0.1378 0.8410 7.7570" Properties=species:S:1:pos:R:3 pbc="T T T"
Si 1.3070 1.8350 4.4476
Si -0.4248 4.4197 -1.4455
Si 3.7091 2.9757 5.3340
Si 2.3065 3.1725 0.5609
Si 1.9774 5.5604 -0.5591
Si 0.9778 4.2229 3.3276
Pt 1.8624 1.3000 -0.9504
Pt 0.2965 4.6987 1.0090
Pt 1.4219 6.0954 4.8389
Pt 2.9878 2.6967 2.8796
Pa 2.7664 6.4956 2.1259
Pa 0.5179 0.8998 1.7626
```

Summary:
- formation energy without anion corrections (eV/atom) = -0.716
- space-group type = C2/m (12)
- final energy (eV/cell) = -84.28

Record 16
Computed, not measured: crystalline Pa4Si3Pt at its relaxed geometry at the PBE level of DFT.

```
8
Lattice="-3.7294 1.4574 -0.8215 -1.5654 -3.5827 0.7505 -1.2093 2.6712 10.2294" Properties=species:S:1:pos:R:3 pbc="T T T"
Pa -1.8133 0.4851 9.0928
Pa -3.0856 -0.0946 3.6715
Pa -2.6403 2.4420 6.1502
Pa -0.1785 0.3944 1.5102
Pt -2.7414 -0.8551 0.7595
Si -0.5091 1.1247 4.3068
Si -1.4810 -0.2490 6.2818
Si -2.9775 3.1869 9.0028
```

Summary:
- formation energy without anion corrections (eV/atom) = -0.589
- space-group type = Pmm2 (25)
- final energy (eV/cell) = -65.01

Record 17
Computed, not measured: crystalline PaSi2Pt5 at its relaxed geometry at the PBE level of DFT.

```
8
Lattice="-1.7336 1.6271 -3.1402 -5.3507 -3.2456 -1.1980 -5.3038 2.9273 1.9748" Properties=species:S:1:pos:R:3 pbc="T T T"
Pt -7.4517 1.6824 0.0453
Pt -5.3273 -0.1592 0.3884
Pt -4.9364 -0.3735 -2.4087
Pt -7.4715 -0.9264 -1.2956
Pt -4.9166 2.2352 -1.0678
Si -3.1726 0.3107 -0.5577
Si -9.2156 0.9981 -1.8057
Pa 0.0000 0.0000 0.0000
```

Summary:
- formation energy without anion corrections (eV/atom) = -0.797
- space-group type = Immm (71)
- final energy (eV/cell) = -56.92

Record 18
Computed, not measured: crystalline PaSiPt2 at its relaxed geometry at the PBE level of DFT.

```
32
Lattice="5.4617 0.0000 0.0000 0.0000 6.8166 0.0000 0.0000 0.0000 15.5788" Properties=species:S:1:pos:R:3 pbc="T T T"
Pa 0.0039 5.1124 5.5337
Pa 1.2986 5.1124 1.5652
Pa 1.4322 5.1124 9.3546
Pa 5.4578 1.7041 10.0451
Pa 2.7348 1.7041 2.2557
Pa 4.1631 1.7041 14.0136
Pa 2.7269 5.1124 13.3231
Pa 4.0295 1.7041 6.2242
Pt 1.2731 0.3182 7.2533
Pt 0.0861 3.7058 12.2238
Pt 4.1887 6.4984 8.3255
Pt 4.1887 3.7265 8.3255
Pt 2.6447 6.5191 4.4344
Pt 1.4578 3.0901 15.0427
Pt 5.3756 0.2975 3.3550
Pt 2.6447 3.7058 4.4344
Pt 2.8170 0.2975 11.1444
Pt 1.4578 0.3182 15.0427
Pt 2.8170 3.1108 11.1444
Pt 4.0039 6.4984 0.5361
Pt 0.0861 6.5191 12.2238
Pt 4.0039 3.7265 0.5361
Pt 5.3756 3.1108 3.3550
Pt 1.2731 3.0901 7.2533
Si 5.4160 5.1124 14.4287
Si 2.6851 1.7041 8.9394
Si 3.9555 5.1124 2.8043
Si 0.0458 1.7041 1.1501
Si 4.2371 5.1124 10.5937
Si 1.2246 1.7041 4.9851
Si 2.7766 5.1124 6.6393
Si 1.5062 1.7041 12.7745
```

Summary:
- formation energy without anion corrections (eV/atom) = -0.950
- space-group type = Pnma (62)
- final energy (eV/cell) = -246.41

Record 19
Computed, not measured: crystalline Pa2SiPt at its relaxed geometry at the PBE level of DFT.

```
4
Lattice="4.2641 0.0000 0.0000 0.0000 4.3653 0.0000 0.0000 0.0000 4.3653" Properties=species:S:1:pos:R:3 pbc="T T T"
Pa 0.0000 2.1827 0.0000
Pa 0.0000 0.0000 2.1827
Pt 2.1321 0.0000 0.0000
Si 2.1321 2.1827 2.1827
```

Summary:
- formation energy without anion corrections (eV/atom) = -0.552
- space-group type = P4/mmm (123)
- final energy (eV/cell) = -32.66

Record 20
Computed, not measured: crystalline Pa2SiPt3 at its relaxed geometry at the PBE level of DFT.

```
12
Lattice="5.4852 0.9963 0.0000 0.6564 5.5361 0.0000 -3.0708 -3.2662 7.7932" Properties=species:S:1:pos:R:3 pbc="T T T"
Pa 1.7510 4.5070 0.0000
Pa 4.3905 2.0254 0.0000
Pa 2.7426 0.4981 3.8966
Pa 0.3282 2.7681 3.8966
Pt 0.0000 0.0000 2.7384
Pt -1.4279 -1.5188 6.4262
Pt 1.4279 1.5188 6.4262
Pt 1.6428 1.7474 1.3670
Pt 4.4987 4.7850 1.3670
Pt 3.0708 3.2662 5.0548
Si 0.0000 0.0000 5.2172
Si 3.0708 3.2662 2.5759
```

Summary:
- formation energy without anion corrections (eV/atom) = -1.023
- space-group type = Fmmm (69)
- final energy (eV/cell) = -97.36

Number 1: magnetization 0.0 μB per formula unit. Number 2: magnetization 0.0 μB per formula unit. Number 3: magnetization 0.0 μB per formula unit. Number 4: magnetization 0.0 μB per formula unit. Number 5: magnetization 2.0 μB per formula unit. Number 6: magnetization 0.0 μB per formula unit. Number 7: magnetization 0.0 μB per formula unit. Number 8: magnetization 2.1 μB per formula unit. Number 9: magnetization 0.0 μB per formula unit. Number 10: magnetization 0.0 μB per formula unit. Number 11: magnetization 0.0 μB per formula unit. Number 12: magnetization 0.0 μB per formula unit. Number 13: magnetization 0.0 μB per formula unit. Number 14: magnetization 0.0 μB per formula unit. Number 15: magnetization 0.0 μB per formula unit. Number 16: magnetization 0.0 μB per formula unit. Number 17: magnetization 0.2 μB per formula unit. Number 18: magnetization 0.0 μB per formula unit. Number 19: magnetization 0.0 μB per formula unit. Number 20: magnetization 0.0 μB per formula unit.